# PBE-GGA LaZrHS2, relaxed
data_LaZrHS2
_symmetry_space_group_name_H-M 'P 4/m m m'
_symmetry_Int_Tables_number 123
_symmetry_space_group_name_Hall '-P 4 2'
_cell_length_a 5.033
_cell_length_b 5.033
_cell_length_c 3.811
_cell_angle_alpha 90.00
_cell_angle_beta 90.00
_cell_angle_gamma 90.00
loop_
_atom_site_label
_atom_site_fract_x
_atom_site_fract_y
_atom_site_fract_z
_atom_site_occupancy
La1 0.000 0.000 0.000 1
Zr1 0.500 0.500 0.500 1
H1 0.500 0.500 0.000 1
S1 0.000 0.500 0.500 1
# Crystal system ... tetragonal

=====

# PBE-GGA Na2Te5As, relaxed
data_Na2Te5As
_symmetry_space_group_name_H-M 'C 1 m 1'
_symmetry_Int_Tables_number 8
_cell_length_a 9.666
_cell_length_b 8.845
_cell_length_c 6.455
_cell_angle_alpha 90.00
_cell_angle_beta 108.79
_cell_angle_gamma 90.00
loop_
_symmetry_equiv_pos_as_xyz
'x,y,z'
'x,-y,z'
'x+1/2,y+1/2,z'
'x+1/2,-y+1/2,z'
loop_
_atom_site_label
_atom_site_fract_x
_atom_site_fract_y
_atom_site_fract_z
_atom_site_occupancy
Na1 0.000 0.000 0.000 1
Na2 0.050 0.500 0.602 1
Te1 0.003 0.500 0.081 1
Te2 0.260 0.259 0.078 1
Te3 0.302 0.273 0.568 1
As1 0.249 0.000 0.749 1
# Crystal system ... monoclinic
# Formation energy without anion corrections ... -238 meV/atom

=====

# PBE-GGA Cs2WBr5Cl, relaxed
data_Cs2WBr5Cl
_symmetry_space_group_name_H-M 'I 4 m m'
_symmetry_Int_Tables_number 107
_symmetry_space_group_name_Hall 'I 4 -2'
_cell_length_a 7.779
_cell_length_b 7.779
_cell_length_c 10.998
_cell_angle_alpha 90.00
_cell_angle_beta 90.00
_cell_angle_gamma 90.00
loop_
_atom_site_label
_atom_site_fract_x
_atom_site_fract_y
_atom_site_fract_z
_atom_site_occupancy
Cs1 0.000 0.500 0.000 1
W1 0.000 0.000 0.249 1
Br1 0.000 0.000 0.482 1
Br2 0.233 0.233 0.250 1
Cl1 0.000 0.000 0.032 1
# Crystal system ... tetragonal
# Formation energy without anion corrections ... -1149 meV/atom

=====

# PBE-GGA NiHg2Mo, relaxed
data_NiHg2Mo
_symmetry_space_group_name_H-M 'F -4 3 m'
_symmetry_Int_Tables_number 216
_symmetry_space_group_name_Hall 'F -4 2 3'
_cell_length_a 6.539
_cell_length_b 6.539
_cell_length_c 6.539
_cell_angle_alpha 90.00
_cell_angle_beta 90.00
_cell_angle_gamma 90.00
loop_
_atom_site_label
_atom_site_fract_x
_atom_site_fract_y
_atom_site_fract_z
_atom_site_occupancy
Ni1 0.000 0.000 0.000 1
Hg1 0.000 0.000 0.500 1
Hg2 0.250 0.250 0.250 1
Mo1 0.250 0.250 0.750 1
# Energy above the most stable polymorph in this dataset ... 0.414 eV/atom
# ΔE_f ... 694 meV per atom
# Crystal system ... cubic

=====

Number 1: VASP energy -31.88 eV/cell, calculated volume 96.5 Å³ per cell. Number 2: VASP energy -49.80 eV/cell, calculated volume 522.5 Å³ per cell. Number 3: VASP energy -70.42 eV/cell, calculated volume 665.6 Å³ per cell. Number 4: VASP energy -57.77 eV/cell, calculated volume 279.6 Å³ per cell.